Record 1
Here is a PBEsol-optimized structure of BeNiP from Alexandria. Energies are from SCAN.

Geometry as CIF:
```
data_BeNiP
_cell_length_a 5.1385
_cell_length_b 5.1385
_cell_length_c 5.1385
_cell_angle_alpha 90.00
_cell_angle_beta 90.00
_cell_angle_gamma 90.00
_space_group_name_H-M_alt 'F -4 3 m'
_space_group_IT_number 216
_space_group_name_Hall 'F -4 2 3'
loop_
_atom_site_label
_atom_site_type_symbol
_atom_site_fract_x
_atom_site_fract_y
_atom_site_fract_z
Be1 Be 0.0000 0.0000 0.0000
Ni1 Ni 0.0000 0.0000 0.5000
P1 P 0.2500 0.2500 0.7500
```

Computed properties:
Formation energy: -0.342 eV/atom
N(E_F): 4.85 states/eV/cell
Electronic total energy: -0.783 Ry/atom


Record 2
Here is a PBEsol-optimized structure of RbNa3Mo2H18O17 from Alexandria. Energies are from SCAN.

Geometry as CIF:
```
data_RbNa3Mo2H18O17
_cell_length_a 9.5049
_cell_length_b 9.5049
_cell_length_c 12.0397
_cell_angle_alpha 90.00
_cell_angle_beta 90.00
_cell_angle_gamma 120.00
_space_group_name_H-M_alt 'P 63/m'
_space_group_IT_number 176
_space_group_name_Hall '-P 6c'
loop_
_atom_site_label
_atom_site_type_symbol
_atom_site_fract_x
_atom_site_fract_y
_atom_site_fract_z
Rb1 Rb 0.0000 0.0000 0.2500
Na1 Na 0.1637 0.4539 0.2500
Mo1 Mo 0.3333 0.6667 0.5245
H1 H 0.0535 0.4224 0.6843
H2 H 0.0803 0.3274 0.0397
H3 H 0.0897 0.7624 0.5983
O1 O 0.0193 0.6052 0.2500
O2 O 0.0265 0.2688 0.1091
O3 O 0.1858 0.4702 0.5719
O4 O 0.3333 0.6667 0.1201
```

Computed properties:
N(E_F): 0.00 states/eV/cell
Electronic total energy: -0.594 Ry/atom


Record 3
Here is a PBEsol-optimized structure of HfHg3Ir from Alexandria. Energies are from SCAN.

Geometry as CIF:
```
data_HfHg3Ir
_cell_length_a 5.0281
_cell_length_b 5.0281
_cell_length_c 5.0281
_cell_angle_alpha 90.00
_cell_angle_beta 90.00
_cell_angle_gamma 90.00
_space_group_name_H-M_alt 'P m -3 m'
_space_group_IT_number 221
_space_group_name_Hall '-P 4 2 3'
loop_
_atom_site_label
_atom_site_type_symbol
_atom_site_fract_x
_atom_site_fract_y
_atom_site_fract_z
Hf1 Hf 0.0000 0.0000 0.0000
Hg1 Hg 0.0000 0.5000 0.5000
Ir1 Ir 0.5000 0.5000 0.5000
```

Computed properties:
Formation energy: 1.026 eV/atom
N(E_F): 5.42 states/eV/cell
Electronic total energy: -4.897 Ry/atom


Record 4
Here is a PBEsol-optimized structure of TiTlS3 from Alexandria. Energies are from SCAN.

Geometry as CIF:
```
data_TiTlS3
_cell_length_a 4.7274
_cell_length_b 4.7274
_cell_length_c 4.7274
_cell_angle_alpha 90.00
_cell_angle_beta 90.00
_cell_angle_gamma 90.00
_space_group_name_H-M_alt 'P m -3 m'
_space_group_IT_number 221
_space_group_name_Hall '-P 4 2 3'
loop_
_atom_site_label
_atom_site_type_symbol
_atom_site_fract_x
_atom_site_fract_y
_atom_site_fract_z
Ti1 Ti 0.0000 0.0000 0.0000
Tl1 Tl 0.5000 0.5000 0.5000
S1 S 0.0000 0.0000 0.5000
```

Computed properties:
E_form (uncorrected): -785 meV per atom
N(E_F): 2.03 states/eV/cell
Electronic total energy: -1.782 Ry/atom


Record 5
Here is a PBEsol-optimized structure of SrLaTl2 from Alexandria. Energies are from SCAN.

Geometry as CIF:
```
data_SrLaTl2
_cell_length_a 5.5861
_cell_length_b 5.5861
_cell_length_c 3.9780
_cell_angle_alpha 90.00
_cell_angle_beta 90.00
_cell_angle_gamma 90.00
_space_group_name_H-M_alt 'P 4 m m'
_space_group_IT_number 99
loop_
_space_group_symop_operation_xyz
'x,y,z'
'-y,x,z'
'-x,-y,z'
'y,-x,z'
'-x,y,z'
'y,x,z'
'x,-y,z'
'-y,-x,z'
loop_
_atom_site_label
_atom_site_type_symbol
_atom_site_fract_x
_atom_site_fract_y
_atom_site_fract_z
Sr1 Sr 0.0000 0.0000 0.0000
La1 La 0.5000 0.5000 0.0020
Tl1 Tl 0.0000 0.5000 0.5007
```

Computed properties:
Formation energy: -0.635 eV/atom
N(E_F): 2.42 states/eV/cell
Electronic total energy: -3.907 Ry/atom


Record 6
Here is a PBEsol-optimized structure of Ca5Ta4O15 from Alexandria. Energies are from SCAN.

Geometry as CIF:
```
data_Ca5Ta4O15
_cell_length_a 5.5676
_cell_length_b 5.5676
_cell_length_c 11.3100
_cell_angle_alpha 90.00
_cell_angle_beta 90.00
_cell_angle_gamma 120.00
_space_group_name_H-M_alt 'P -3 m 1'
_space_group_IT_number 164
_space_group_name_Hall '-P 3 2"'
loop_
_atom_site_label
_atom_site_type_symbol
_atom_site_fract_x
_atom_site_fract_y
_atom_site_fract_z
Ca1 Ca 0.0000 0.0000 0.0000
Ca2 Ca 0.3333 0.6667 0.4534
Ca3 Ca 0.3333 0.6667 0.7599
Ta1 Ta 0.0000 0.0000 0.3191
Ta2 Ta 0.3333 0.6667 0.1049
O1 O 0.0000 0.5000 0.0000
O2 O 0.1620 0.3240 0.1949
O3 O 0.1732 0.3464 0.6049
```

Computed properties:
E_form (uncorrected): -3227 meV per atom
N(E_F): 0.00 states/eV/cell
Electronic total energy: -1.487 Ry/atom
Relative energy among the computed polymorphs: 0.031 eV/atom


Record 7
Here is a PBEsol-optimized structure of Zr2CoS4 from Alexandria. Energies are from SCAN.

Geometry as CIF:
```
data_Zr2CoS4
_cell_length_a 12.9965
_cell_length_b 3.5747
_cell_length_c 6.1929
_cell_angle_alpha 90.00
_cell_angle_beta 117.63
_cell_angle_gamma 90.00
_space_group_name_H-M_alt 'C 1 m 1'
_space_group_IT_number 8
loop_
_space_group_symop_operation_xyz
'x,y,z'
'x,-y,z'
'x+1/2,y+1/2,z'
'x+1/2,-y+1/2,z'
loop_
_atom_site_label
_atom_site_type_symbol
_atom_site_fract_x
_atom_site_fract_y
_atom_site_fract_z
Zr1 Zr 0.0000 0.0000 0.0000
Zr2 Zr 0.0007 0.5000 0.4883
Co1 Co 0.3242 0.0000 0.9863
S1 S 0.1312 0.0000 0.7838
S2 S 0.1330 0.5000 0.2906
S3 S 0.3625 0.5000 0.1947
S4 S 0.3706 0.0000 0.6914
```

Computed properties:
E_form (uncorrected): -1468 meV per atom
N(E_F): 3.02 states/eV/cell
Electronic total energy: -1.339 Ry/atom


Record 8
Here is a PBEsol-optimized structure of KLaCO4 from Alexandria. Energies are from SCAN.

Geometry as CIF:
```
data_KLaCO4
_cell_length_a 3.6179
_cell_length_b 4.7099
_cell_length_c 11.9419
_cell_angle_alpha 90.00
_cell_angle_beta 90.00
_cell_angle_gamma 90.00
_space_group_name_H-M_alt 'P m m n'
_space_group_IT_number 59
loop_
_space_group_symop_operation_xyz
'x,y,z'
'-x,-y,-z'
'-x+1/2,-y+1/2,z'
'x+1/2,y+1/2,-z'
'x+1/2,-y,-z'
'-x+1/2,y,z'
'-x,y+1/2,-z'
'x,-y+1/2,z'
loop_
_atom_site_label
_atom_site_type_symbol
_atom_site_fract_x
_atom_site_fract_y
_atom_site_fract_z
K1 K 0.2500 0.2500 0.1083
La1 La 0.2500 0.2500 0.4029
C1 C 0.2500 0.2500 0.7821
O1 O 0.2500 0.0112 0.7287
O2 O 0.2500 0.2500 0.8908
O3 O 0.2500 0.7500 0.4792
```

Computed properties:
E_form (uncorrected): -2533 meV per atom
N(E_F): 0.00 states/eV/cell
Electronic total energy: -1.094 Ry/atom


Record 9
Here is a PBEsol-optimized structure of Mn2Be from Alexandria. Energies are from SCAN.

Geometry as CIF:
```
data_Mn2Be
_cell_length_a 3.7504
_cell_length_b 3.7504
_cell_length_c 2.3361
_cell_angle_alpha 90.00
_cell_angle_beta 90.00
_cell_angle_gamma 120.00
_space_group_name_H-M_alt 'P -3 m 1'
_space_group_IT_number 164
_space_group_name_Hall '-P 3 2"'
loop_
_atom_site_label
_atom_site_type_symbol
_atom_site_fract_x
_atom_site_fract_y
_atom_site_fract_z
Mn1 Mn 0.3333 0.6667 0.1351
Be1 Be 0.0000 0.0000 0.5000
```

Computed properties:
Formation energy: -0.061 eV/atom
N(E_F): 2.45 states/eV/cell
Electronic total energy: -1.006 Ry/atom


Record 10
Here is a PBEsol-optimized structure of TbPd3 from Alexandria. Energies are from SCAN.

Geometry as CIF:
```
data_TbPd3
_cell_length_a 4.0523
_cell_length_b 4.0523
_cell_length_c 4.0523
_cell_angle_alpha 90.00
_cell_angle_beta 90.00
_cell_angle_gamma 90.00
_space_group_name_H-M_alt 'P m -3 m'
_space_group_IT_number 221
_space_group_name_Hall '-P 4 2 3'
loop_
_atom_site_label
_atom_site_type_symbol
_atom_site_fract_x
_atom_site_fract_y
_atom_site_fract_z
Tb1 Tb 0.0000 0.0000 0.0000
Pd1 Pd 0.0000 0.5000 0.5000
```

Computed properties:
Formation energy: -0.936 eV/atom
N(E_F): 1.43 states/eV/cell
Electronic total energy: -2.735 Ry/atom


Record 11
Here is a PBEsol-optimized structure of Ca2LaSi from Alexandria. Energies are from SCAN.

Geometry as CIF:
```
data_Ca2LaSi
_cell_length_a 3.5640
_cell_length_b 3.5640
_cell_length_c 9.8788
_cell_angle_alpha 90.00
_cell_angle_beta 90.00
_cell_angle_gamma 90.00
_space_group_name_H-M_alt 'P 4 m m'
_space_group_IT_number 99
loop_
_space_group_symop_operation_xyz
'x,y,z'
'-y,x,z'
'-x,-y,z'
'y,-x,z'
'-x,y,z'
'y,x,z'
'x,-y,z'
'-y,-x,z'
loop_
_atom_site_label
_atom_site_type_symbol
_atom_site_fract_x
_atom_site_fract_y
_atom_site_fract_z
Ca1 Ca 0.0000 0.0000 0.0000
Ca2 Ca 0.5000 0.5000 0.3148
La1 La 0.0000 0.0000 0.6384
Si1 Si 0.5000 0.5000 0.8191
```

Computed properties:
E_form (uncorrected): -206 meV per atom
N(E_F): 3.52 states/eV/cell
Electronic total energy: -1.346 Ry/atom


Record 12
Here is a PBEsol-optimized structure of BeZnTc2 from Alexandria. Energies are from SCAN.

Geometry as CIF:
```
data_BeZnTc2
_cell_length_a 3.0553
_cell_length_b 4.0990
_cell_length_c 7.7844
_cell_angle_alpha 90.00
_cell_angle_beta 90.00
_cell_angle_gamma 90.00
_space_group_name_H-M_alt 'I m m 2'
_space_group_IT_number 44
loop_
_space_group_symop_operation_xyz
'x,y,z'
'-x,-y,z'
'-x,y,z'
'x,-y,z'
'x+1/2,y+1/2,z+1/2'
'-x+1/2,-y+1/2,z+1/2'
'-x+1/2,y+1/2,z+1/2'
'x+1/2,-y+1/2,z+1/2'
loop_
_atom_site_label
_atom_site_type_symbol
_atom_site_fract_x
_atom_site_fract_y
_atom_site_fract_z
Be1 Be 0.0000 0.0000 0.0000
Zn1 Zn 0.0000 0.5000 0.2804
Tc1 Tc 0.0000 0.0000 0.5099
Tc2 Tc 0.0000 0.5000 0.7385
```

Computed properties:
Formation energy: -0.047 eV/atom
N(E_F): 4.15 states/eV/cell
Electronic total energy: -1.620 Ry/atom
Relative energy among the computed polymorphs: 0.073 eV/atom